Entry 1:
The following is a PBE-GGA calculation of a geometry-optimized HfCdCu structure, from OQMD via LeMat-Bulk. Values from VASP.

```
&SYSTEM
  ibrav = 0, nat = 3, ntyp = 3
/
ATOMIC_SPECIES
Cd 112.41 Cd.upf
Hf 178.49 Hf.upf
Cu 63.55 Cu.upf
CELL_PARAMETERS angstrom
3.734 -0.186 2.524
0.440 -3.204 3.145
2.959 -3.352 -0.594
ATOMIC_POSITIONS angstrom
Cd 1.783 -1.685 1.269
Hf 0.000 0.000 0.000
Cu 5.350 -5.056 3.806
```

Crystal system ... cubic
Energy of formation from the pure elements ... 634.9 meV/atom


Entry 2:
The following is a PBE-GGA calculation of a geometry-optimized Hf2CdCu3 structure, from OQMD via LeMat-Bulk. Values from VASP.

```
&SYSTEM
  ibrav = 0, nat = 6, ntyp = 3
/
ATOMIC_SPECIES
Cd 112.41 Cd.upf
Cu 63.55 Cu.upf
Hf 178.49 Hf.upf
CELL_PARAMETERS angstrom
3.181 0.000 0.000
0.000 3.181 0.000
0.000 0.000 9.808
ATOMIC_POSITIONS angstrom
Cd 0.000 0.000 1.836
Cu 0.000 0.000 7.862
Cu 1.590 1.590 6.658
Cu 1.590 1.590 3.440
Hf 1.590 1.590 9.472
Hf 0.000 0.000 5.060
```

Crystal system ... tetragonal
Energy of formation from the pure elements ... -50.1 meV/atom


Entry 3:
The following is a PBE-GGA calculation of a geometry-optimized Hf3CdCu4 structure, from OQMD via LeMat-Bulk. Values from VASP.

```
&SYSTEM
  ibrav = 0, nat = 8, ntyp = 3
/
ATOMIC_SPECIES
Hf 178.49 Hf.upf
Cu 63.55 Cu.upf
Cd 112.41 Cd.upf
CELL_PARAMETERS angstrom
-2.874 2.874 5.714
2.874 -2.874 5.714
2.874 2.874 -5.714
ATOMIC_POSITIONS angstrom
Hf 2.874 0.000 2.857
Hf 0.000 2.874 2.857
Hf 0.000 0.000 5.714
Cu -1.470 1.470 7.103
Cu 1.470 1.470 4.326
Cu 1.404 1.404 -1.388
Cu 1.470 -1.470 7.103
Cd 0.000 0.000 0.000
```

Crystal system ... tetragonal
Energy of formation from the pure elements ... 991.4 meV/atom


Entry 4:
The following is a PBE-GGA calculation of a geometry-optimized HfCdCu2 structure, from OQMD via LeMat-Bulk. Values from VASP.

```
&SYSTEM
  ibrav = 0, nat = 4, ntyp = 3
/
ATOMIC_SPECIES
Cu 63.55 Cu.upf
Cd 112.41 Cd.upf
Hf 178.49 Hf.upf
CELL_PARAMETERS angstrom
-2.789 3.037 1.789
-1.170 3.641 -2.361
-4.190 0.406 -1.576
ATOMIC_POSITIONS angstrom
Cu -4.075 3.542 -1.074
Cu -2.037 1.771 -0.537
Cd -6.112 5.313 -1.611
Hf 0.000 0.000 0.000
```

Crystal system ... cubic
Energy of formation from the pure elements ... 90.0 meV/atom


Entry 5:
The following is a PBE-GGA calculation of a geometry-optimized HfCdCu structure, from OQMD via LeMat-Bulk. Values from VASP.

```
&SYSTEM
  ibrav = 0, nat = 6, ntyp = 3
/
ATOMIC_SPECIES
Cu 63.55 Cu.upf
Hf 178.49 Hf.upf
Cd 112.41 Cd.upf
CELL_PARAMETERS angstrom
3.303 0.000 0.000
0.000 3.303 0.000
0.000 0.000 9.707
ATOMIC_POSITIONS angstrom
Cu 0.000 0.000 6.321
Cu 0.000 0.000 3.385
Hf 0.000 0.000 0.000
Hf 1.651 1.651 4.853
Cd 1.651 1.651 1.895
Cd 1.651 1.651 7.812
```

Crystal system ... tetragonal
Energy of formation from the pure elements ... 48.0 meV/atom


Entry 6:
The following is a PBE-GGA calculation of a geometry-optimized HfCdCu2 structure, from OQMD via LeMat-Bulk. Values from VASP.

```
&SYSTEM
  ibrav = 0, nat = 16, ntyp = 3
/
ATOMIC_SPECIES
Hf 178.49 Hf.upf
Cu 63.55 Cu.upf
Cd 112.41 Cd.upf
CELL_PARAMETERS angstrom
-4.697 -2.035 3.638
1.659 -6.280 -1.369
3.876 -0.060 4.971
ATOMIC_POSITIONS angstrom
Hf 2.004 -5.250 2.371
Hf 0.074 -5.217 -0.121
Hf -1.166 -3.124 4.868
Hf -3.112 -3.098 2.389
Cu 1.801 -3.154 0.565
Cu -0.963 -5.220 6.674
Cu -0.556 -4.174 2.372
Cu 1.393 -4.200 4.867
Cu 0.564 -1.063 5.551
Cu 0.273 -7.311 1.688
Cu -0.134 -8.357 5.990
Cu 0.972 -0.017 1.249
Cd 1.181 -2.110 3.062
Cd -0.343 -6.264 4.177
Cd 1.589 -6.297 6.667
Cd -0.751 -2.077 0.572
```

Crystal system ... orthorhombic
Energy of formation from the pure elements ... 44.2 meV/atom


Entry 7:
The following is a PBE-GGA calculation of a geometry-optimized HfCdCu structure, from OQMD via LeMat-Bulk. Values from VASP.

```
&SYSTEM
  ibrav = 0, nat = 3, ntyp = 3
/
ATOMIC_SPECIES
Cd 112.41 Cd.upf
Hf 178.49 Hf.upf
Cu 63.55 Cu.upf
CELL_PARAMETERS angstrom
3.012 -2.197 2.405
2.223 2.093 3.219
-0.827 -0.959 4.252
ATOMIC_POSITIONS angstrom
Cd 0.000 0.000 0.000
Hf 3.306 -0.797 7.407
Cu 1.102 -0.266 2.469
```

Crystal system ... cubic
Energy of formation from the pure elements ... 572.5 meV/atom


Entry 8:
The following is a PBE-GGA calculation of a geometry-optimized HfCdCu2 structure, from OQMD via LeMat-Bulk. Values from VASP.

```
&SYSTEM
  ibrav = 0, nat = 4, ntyp = 3
/
ATOMIC_SPECIES
Cu 63.55 Cu.upf
Hf 178.49 Hf.upf
Cd 112.41 Cd.upf
CELL_PARAMETERS angstrom
3.186 0.000 0.000
0.000 3.186 0.000
0.000 0.000 6.492
ATOMIC_POSITIONS angstrom
Cu 1.593 1.593 1.660
Cu 1.593 1.593 4.832
Hf 0.000 0.000 3.246
Cd 0.000 0.000 0.000
```

Crystal system ... tetragonal
Energy of formation from the pure elements ... -46.4 meV/atom


For each record above, in turn, the calculated total moment values are 0.00, 0.02, 0.00, 0.00, 0.04, 0.00, 0.00, 0.07 μB per atom.